Record 1
Density functional theory data (PBE) for crystalline LiLuZrGa at its relaxed geometry.

Output
Crystal system: cubic
Total energy: -4.734 eV/atom
E_form: -232 meV per atom

POSCAR file:
```
LiLuZrGa
1.0
0.000 3.423 3.423
3.423 0.000 3.423
3.423 3.423 0.000
Li Lu Zr Ga
1 1 1 1
Direct
0.000 0.000 0.000
0.250 0.250 0.250
0.750 0.750 0.750
0.500 0.500 0.500
```



Record 2
Density functional theory data (PBE) for crystalline Li3MgGa2 at its relaxed geometry.

Output
Crystal system: hexagonal
Total energy: -2.466 eV/atom
E_form: -235 meV per atom

POSCAR file:
```
Li3MgGa2
1.0
4.555 0.000 0.000
-2.277 3.945 0.000
0.000 0.000 11.641
Li Mg Ga
6 2 4
Direct
0.000 0.000 0.000
0.000 0.000 0.500
0.333 0.667 0.100
0.333 0.667 0.400
0.667 0.333 0.600
0.667 0.333 0.900
0.000 0.000 0.250
0.000 0.000 0.750
0.333 0.667 0.638
0.333 0.667 0.862
0.667 0.333 0.138
0.667 0.333 0.362
```



Record 3
Density functional theory data (PBE) for crystalline Li2MgGa4 at its relaxed geometry.

Output
Crystal system: orthorhombic
Total energy: -2.706 eV/atom
E_form: -202 meV per atom
E above lowest polymorph: 0.00 eV per formula unit

POSCAR file:
```
Li2MgGa4
1.0
-1.561 2.234 8.963
1.561 -2.234 8.963
1.561 2.234 -8.963
Li Mg Ga
2 1 4
Direct
0.201 0.201 0.000
0.799 0.799 0.000
0.500 0.000 0.500
0.071 0.571 0.500
0.353 0.353 0.000
0.647 0.647 0.000
0.929 0.429 0.500
```



Record 4
Density functional theory data (PBE) for crystalline Li2MgGa2 at its relaxed geometry.

Output
Crystal system: monoclinic
Total energy: -2.515 eV/atom
E_form: -220 meV per atom
E above lowest polymorph: 0.01 eV per formula unit

POSCAR file:
```
Li2MgGa2
1.0
4.086 -2.246 0.000
4.086 2.246 0.000
-3.157 0.000 4.800
Li Mg Ga
2 1 2
Direct
0.207 0.207 0.125
0.793 0.793 0.875
0.000 0.000 0.500
0.413 0.413 0.729
0.587 0.587 0.271
```



Record 5
Density functional theory data (PBE) for crystalline LiMg2Ga5 at its relaxed geometry.

Output
Crystal system: tetragonal
Total energy: -2.670 eV/atom
E_form: -141 meV per atom

POSCAR file:
```
LiMg2Ga5
1.0
-2.151 2.151 7.857
2.151 -2.151 7.857
2.151 2.151 -7.857
Li Mg Ga
1 2 5
Direct
0.000 0.000 0.000
0.246 0.246 0.000
0.754 0.754 0.000
0.120 0.620 0.500
0.380 0.880 0.500
0.500 0.500 0.000
0.620 0.120 0.500
0.880 0.380 0.500
```



Record 6
Density functional theory data (PBE) for crystalline Li2MgGa at its relaxed geometry.

Output
Crystal system: tetragonal
Total energy: -2.282 eV/atom
E_form: -170 meV per atom

POSCAR file:
```
Li2MgGa
1.0
3.319 0.000 0.000
0.000 3.319 0.000
0.000 0.000 6.434
Li Mg Ga
2 1 1
Direct
0.000 0.000 0.222
0.000 0.000 0.778
0.500 0.500 0.500
0.500 0.500 0.000
```



Record 7
Density functional theory data (PBE) for crystalline Li2MgGa2 at its relaxed geometry.

Output
Crystal system: tetragonal
Total energy: -2.448 eV/atom
E_form: -153 meV per atom
E above lowest polymorph: 0.34 eV per formula unit

POSCAR file:
```
Li2MgGa2
1.0
-1.868 1.868 6.516
1.868 -1.868 6.516
1.868 1.868 -6.516
Li Mg Ga
2 1 2
Direct
0.250 0.750 0.500
0.750 0.250 0.500
0.000 0.000 0.000
0.400 0.400 0.000
0.600 0.600 0.000
```



Record 8
Density functional theory data (PBE) for crystalline Li5Mg2Ga2 at its relaxed geometry.

Output
Crystal system: orthorhombic
Total energy: -2.151 eV/atom
E_form: -61 meV per atom
E above lowest polymorph: 0.61 eV per formula unit

POSCAR file:
```
Li5Mg2Ga2
1.0
-8.612 3.307 3.053
8.612 -3.307 3.053
8.612 3.307 -3.053
Li Mg Ga
10 4 4
Direct
0.232 0.001 0.732
0.249 0.111 0.360
0.249 0.389 0.639
0.251 0.662 0.911
0.251 0.840 0.089
0.269 0.501 0.268
0.751 0.162 0.911
0.751 0.340 0.089
0.751 0.611 0.361
0.751 0.889 0.640
0.695 0.500 0.695
0.749 0.249 0.500
0.749 0.749 0.000
0.806 0.000 0.305
0.163 0.312 0.974
0.163 0.689 0.351
0.338 0.189 0.026
0.338 0.812 0.649
```



Record 9
Density functional theory data (PBE) for crystalline Li5Mg3Ga at its relaxed geometry.

Output
Crystal system: monoclinic
Total energy: -1.807 eV/atom
E_form: 125 meV per atom

POSCAR file:
```
Li5Mg3Ga
1.0
5.856 -3.305 0.000
5.856 3.305 0.000
-0.574 0.000 9.917
Li Mg Ga
10 6 2
Direct
0.015 0.015 0.377
0.154 0.846 0.000
0.159 0.607 0.246
0.253 0.253 0.934
0.393 0.841 0.754
0.607 0.159 0.246
0.747 0.747 0.066
0.841 0.393 0.754
0.846 0.154 0.000
0.985 0.985 0.623
0.173 0.173 0.197
0.236 0.236 0.530
0.500 0.500 0.000
0.500 0.500 0.500
0.764 0.764 0.470
0.827 0.827 0.803
0.400 0.400 0.744
0.600 0.600 0.256
```



Record 10
Density functional theory data (PBE) for crystalline LiMg12Ga7 at its relaxed geometry.

Output
Crystal system: trigonal
Total energy: -2.211 eV/atom
E_form: -99 meV per atom

POSCAR file:
```
LiMg12Ga7
1.0
6.043 3.489 3.172
-6.043 3.489 3.172
0.000 -6.978 3.172
Li Mg Ga
1 12 7
Direct
0.000 0.000 0.000
0.076 0.285 0.362
0.235 0.733 0.452
0.267 0.548 0.765
0.285 0.362 0.076
0.362 0.076 0.285
0.452 0.235 0.733
0.548 0.765 0.267
0.638 0.924 0.715
0.715 0.638 0.924
0.733 0.452 0.235
0.765 0.267 0.548
0.924 0.715 0.638
0.053 0.118 0.689
0.118 0.689 0.053
0.311 0.947 0.882
0.500 0.500 0.500
0.689 0.053 0.118
0.882 0.311 0.947
0.947 0.882 0.311
```



Record 11
Density functional theory data (PBE) for crystalline Li2Mg2Ga at its relaxed geometry.

Output
Crystal system: orthorhombic
Total energy: -2.073 eV/atom
E_form: -64 meV per atom
E above lowest polymorph: 0.45 eV per formula unit

POSCAR file:
```
Li2Mg2Ga
1.0
-1.612 2.494 12.851
1.612 -2.494 12.851
1.612 2.494 -12.851
Li Mg Ga
4 4 2
Direct
0.153 0.903 0.250
0.277 0.027 0.250
0.723 0.973 0.750
0.847 0.097 0.750
0.053 0.303 0.750
0.449 0.199 0.250
0.551 0.801 0.750
0.947 0.697 0.250
0.361 0.611 0.750
0.639 0.389 0.250
```



Record 12
Density functional theory data (PBE) for crystalline Li3Mg2Ga3 at its relaxed geometry.

Output
Crystal system: monoclinic
Total energy: -2.465 eV/atom
E_form: -214 meV per atom

POSCAR file:
```
Li3Mg2Ga3
1.0
7.712 -2.204 0.000
7.712 2.204 0.000
-1.201 0.000 4.145
Li Mg Ga
3 2 3
Direct
0.000 0.000 0.000
0.111 0.111 0.612
0.889 0.889 0.388
0.247 0.247 0.248
0.753 0.753 0.752
0.380 0.380 0.880
0.500 0.500 0.500
0.620 0.620 0.120
```



Record 13
Density functional theory data (PBE) for crystalline LiMg3Ga3 at its relaxed geometry.

Output
Crystal system: trigonal
Total energy: -2.359 eV/atom
E_form: -105 meV per atom
E above lowest polymorph: 0.32 eV per formula unit

POSCAR file:
```
LiMg3Ga3
1.0
3.845 2.220 5.552
-3.845 2.220 5.552
0.000 -4.440 5.552
Li Mg Ga
2 6 6
Direct
0.147 0.147 0.147
0.853 0.853 0.853
0.034 0.251 0.568
0.251 0.568 0.034
0.432 0.966 0.749
0.568 0.034 0.251
0.749 0.432 0.966
0.966 0.749 0.432
0.179 0.441 0.745
0.255 0.821 0.559
0.441 0.745 0.179
0.559 0.255 0.821
0.745 0.179 0.441
0.821 0.559 0.255
```



Record 14
Density functional theory data (PBE) for crystalline LiMg4Ga15 at its relaxed geometry.

Output
Crystal system: tetragonal
Total energy: -2.801 eV/atom
E_form: -116 meV per atom

POSCAR file:
```
LiMg4Ga15
1.0
4.134 0.000 0.000
0.000 4.134 0.000
0.000 0.000 21.387
Li Mg Ga
1 4 15
Direct
0.000 0.000 0.000
0.000 0.000 0.195
0.000 0.000 0.399
0.000 0.000 0.601
0.000 0.000 0.805
0.000 0.500 0.094
0.000 0.500 0.297
0.000 0.500 0.500
0.000 0.500 0.703
0.000 0.500 0.906
0.500 0.000 0.094
0.500 0.000 0.297
0.500 0.000 0.500
0.500 0.000 0.703
0.500 0.000 0.906
0.500 0.500 0.000
0.500 0.500 0.196
0.500 0.500 0.398
0.500 0.500 0.602
0.500 0.500 0.804
```



Record 15
Density functional theory data (PBE) for crystalline LiMg4Ga at its relaxed geometry.

Output
Crystal system: monoclinic
Total energy: -1.996 eV/atom
E_form: -109 meV per atom
E above lowest polymorph: 0.00 eV per formula unit

POSCAR file:
```
LiMg4Ga
1.0
4.529 0.000 0.000
0.000 4.555 0.000
-2.228 0.000 5.873
Li Mg Ga
1 4 1
Direct
0.000 0.000 0.000
0.154 0.500 0.310
0.341 0.000 0.683
0.659 0.000 0.317
0.846 0.500 0.690
0.500 0.500 0.000
```



Record 16
Density functional theory data (PBE) for crystalline LiMg6Ga10 at its relaxed geometry.

Output
Crystal system: trigonal
Total energy: -2.528 eV/atom
E_form: -73 meV per atom

POSCAR file:
```
LiMg6Ga10
1.0
8.364 0.000 0.000
-4.182 7.243 0.000
0.000 0.000 5.539
Li Mg Ga
1 6 10
Direct
0.000 0.000 0.000
0.000 0.361 0.830
0.000 0.639 0.170
0.361 0.000 0.830
0.361 0.361 0.170
0.639 0.000 0.170
0.639 0.639 0.830
0.000 0.273 0.339
0.000 0.727 0.661
0.273 0.000 0.339
0.273 0.273 0.661
0.333 0.667 0.000
0.333 0.667 0.500
0.667 0.333 0.000
0.667 0.333 0.500
0.727 0.000 0.661
0.727 0.727 0.339
```



Record 17
Density functional theory data (PBE) for crystalline Li2Mg6Ga at its relaxed geometry.

Output
Crystal system: monoclinic
Total energy: -1.899 eV/atom
E_form: -75 meV per atom

POSCAR file:
```
Li2Mg6Ga
1.0
4.207 -2.432 0.000
4.207 2.432 0.000
-0.013 0.000 9.056
Li Mg Ga
2 6 1
Direct
0.167 0.167 0.274
0.833 0.833 0.726
0.167 0.167 0.604
0.167 0.167 0.945
0.500 0.500 0.180
0.500 0.500 0.820
0.833 0.833 0.055
0.833 0.833 0.396
0.500 0.500 0.500
```



Record 18
Density functional theory data (PBE) for crystalline Li5MgGa2 at its relaxed geometry.

Output
Crystal system: monoclinic
Total energy: -2.326 eV/atom
E_form: -174 meV per atom

POSCAR file:
```
Li5MgGa2
1.0
3.534 -4.387 0.000
3.534 4.387 0.000
-3.506 0.000 4.369
Li Mg Ga
5 1 2
Direct
0.000 0.000 0.000
0.000 0.500 0.000
0.001 0.001 0.500
0.500 0.000 0.000
0.500 0.500 0.500
0.501 0.501 0.001
0.000 0.500 0.500
0.500 0.000 0.500
```



Record 19
Density functional theory data (PBE) for crystalline Li2Mg6Ga at its relaxed geometry.

Output
Crystal system: tetragonal
Total energy: -1.900 eV/atom
E_form: -76 meV per atom

POSCAR file:
```
Li2Mg6Ga
1.0
8.976 0.000 0.000
0.000 8.976 0.000
0.000 0.000 4.633
Li Mg Ga
4 12 2
Direct
0.193 0.193 0.000
0.307 0.693 0.500
0.693 0.307 0.500
0.807 0.807 0.000
0.025 0.325 0.500
0.133 0.867 0.000
0.175 0.525 0.000
0.325 0.025 0.500
0.367 0.367 0.500
0.475 0.825 0.000
0.525 0.175 0.000
0.633 0.633 0.500
0.675 0.975 0.500
0.825 0.475 0.000
0.867 0.133 0.000
0.975 0.675 0.500
0.000 0.000 0.500
0.500 0.500 0.000
```



Record 20
Density functional theory data (PBE) for crystalline LiMg5Ga3 at its relaxed geometry.

Output
Crystal system: hexagonal
Total energy: -2.247 eV/atom
E_form: -139 meV per atom
E above lowest polymorph: 0.00 eV per formula unit

POSCAR file:
```
LiMg5Ga3
1.0
8.248 0.000 0.000
-4.124 7.143 0.000
0.000 0.000 6.023
Li Mg Ga
2 10 6
Direct
0.000 0.000 0.000
0.000 0.000 0.500
0.000 0.317 0.250
0.000 0.683 0.750
0.317 0.000 0.250
0.317 0.317 0.750
0.333 0.667 0.000
0.333 0.667 0.500
0.667 0.333 0.000
0.667 0.333 0.500
0.683 0.000 0.750
0.683 0.683 0.250
0.000 0.347 0.750
0.000 0.653 0.250
0.347 0.000 0.750
0.347 0.347 0.250
0.653 0.000 0.250
0.653 0.653 0.750
```



Record 21
Density functional theory data (PBE) for crystalline Li3Mg2Ga2 at its relaxed geometry.

Output
Crystal system: monoclinic
Total energy: -2.368 eV/atom
E_form: -227 meV per atom
E above lowest polymorph: 0.00 eV per formula unit

POSCAR file:
```
Li3Mg2Ga2
1.0
4.035 -2.321 0.000
4.035 2.321 0.000
-2.673 0.000 6.488
Li Mg Ga
3 2 2
Direct
0.000 0.000 0.000
0.141 0.141 0.420
0.859 0.859 0.580
0.284 0.284 0.854
0.716 0.716 0.146
0.433 0.433 0.296
0.567 0.567 0.704
```